Er4Mo6O19 after structural relaxation, computed with PBE with a Hubbard U.

a b c (Å): 7.8105 7.8105 7.8105
angles (deg): 109.47 109.47 109.47
Element x y z (fractional)
1 Er 0.0000 0.0000 0.7119
2 Er 0.0000 0.7119 0.0000
3 Er 0.2881 0.2881 0.2881
4 Er 0.7119 0.0000 0.0000
5 Mo 0.1421 0.6421 0.5000
6 Mo 0.3579 0.5000 0.8579
7 Mo 0.5000 0.1421 0.6421
8 Mo 0.5000 0.8579 0.3579
9 Mo 0.6421 0.5000 0.1421
10 Mo 0.8579 0.3579 0.5000
11 O 0.0000 0.0000 0.0000
12 O 0.0000 0.3177 0.3177
13 O 0.0000 0.6823 0.6823
14 O 0.0447 0.2843 0.6673
15 O 0.2396 0.9553 0.6226
16 O 0.2843 0.6673 0.0447
17 O 0.3177 0.0000 0.3177
18 O 0.3177 0.3177 0.0000
19 O 0.3327 0.6170 0.3774
20 O 0.3774 0.3327 0.6170
21 O 0.3830 0.7157 0.7604
22 O 0.6170 0.3774 0.3327
23 O 0.6226 0.2396 0.9553
24 O 0.6673 0.0447 0.2843
25 O 0.6823 0.0000 0.6823
26 O 0.6823 0.6823 0.0000
27 O 0.7157 0.7604 0.3830
28 O 0.7604 0.3830 0.7157
29 O 0.9553 0.6226 0.2396

Summary:
SG: I23 (197)
total DFT energy (no corrections): -7.564 eV per atom
crystal system: cubic
theoretical density: 7.0 g/cm³